PmEr7Sc4 PBE relaxed; relative energy among the computed polymorphs = 0.0 meV/atom; symmetry = No. 2; crystal system = triclinic; total moment = 0.0 μB/f.u.; D(E_F) = 17.3 states/eV/cell; calculated volume = 344 Å³ per cell
1.0
-1.5857 6.5645 1.5429
-0.6180 -1.5122 5.7710
6.2220 7.6950 4.7663
Pm Er Sc
1 7 4
Cartesian
0.0000 0.0000 0.0000 Pm
-1.4601 4.1387 4.0624 Er
5.4783 8.6086 8.0179 Er
3.8001 5.1980 4.9096 Er
0.2182 7.5494 7.1706 Er
3.1097 6.1380 8.1557 Er
-0.7929 3.2822 0.7714 Er
0.9086 6.6094 3.9246 Er
1.0131 4.1750 6.4196 Sc
3.0052 8.5724 5.6607 Sc
2.2903 9.4092 8.9613 Sc
1.7280 3.3382 3.1190 Sc



Pm6MgTl3 PBE relaxed; symmetry = No. 11; crystal system = monoclinic; total moment = 0.0 μB/f.u.; calculated total energy = -79.0 eV for the cell shown; D(E_F) = 21.6 states/eV/cell; calculated volume = 599 Å³ per cell
1.0
5.4720 0.0000 0.0000
0.0000 9.0864 -3.0126
0.0000 0.0678 12.0194
Pm Mg Tl
12 2 6
Cartesian
1.3680 4.2368 -0.3074 Pm
4.1040 4.9174 9.3142 Pm
1.3680 1.2154 1.4827 Pm
4.1040 7.9388 7.5241 Pm
1.3680 6.0441 6.2078 Pm
4.1040 3.1101 2.7990 Pm
1.3680 2.3244 5.2023 Pm
4.1040 6.8298 3.8045 Pm
1.3680 7.7384 1.0808 Pm
4.1040 1.4158 7.9260 Pm
1.3680 0.8745 10.3217 Pm
4.1040 8.2797 -1.3148 Pm
1.3680 8.7585 4.2215 Mg
4.1040 0.3957 4.7853 Mg
1.3680 4.9391 2.9996 Tl
4.1040 4.2152 6.0072 Tl
1.3680 3.3598 8.2910 Tl
4.1040 5.7945 0.7158 Tl
1.3680 7.0633 9.3915 Tl
4.1040 2.0909 -0.3847 Tl



Co4NiIr4 PBE relaxed; symmetry = No. 139; crystal system = tetragonal; total moment = 6.4 μB/f.u.; calculated total energy = -138.9 eV for the cell shown; D(E_F) = 26.6 states/eV/cell; calculated volume = 227 Å³ per cell
1.0
3.6732 0.0000 0.0000
0.0000 7.8656 0.0000
0.0000 0.0000 7.8656
Co Ni Ir
8 2 8
Cartesian
1.8363 3.9329 6.6095 Co
3.6729 5.1888 0.0001 Co
1.8363 3.9327 1.2560 Co
0.0003 7.8655 5.1888 Co
1.8369 6.6095 3.9327 Co
0.0003 0.0001 2.6768 Co
3.6729 2.6768 7.8654 Co
1.8369 1.2560 3.9329 Co
0.0000 0.0000 0.0000 Ni
1.8366 3.9328 3.9328 Ni
1.8366 6.5549 1.3107 Ir
1.8366 1.3107 6.5548 Ir
3.6732 5.2435 5.2435 Ir
0.0000 2.6221 5.2435 Ir
0.0000 5.2435 2.6220 Ir
1.8366 1.3107 1.3107 Ir
1.8366 6.5548 6.5549 Ir
3.6732 2.6220 2.6221 Ir



LiCdGa PBE relaxed; relative energy among the computed polymorphs = 39.8 meV/atom; symmetry = No. 156; crystal system = trigonal; total moment = 0.0 μB/f.u.; D(E_F) = 0.8 states/eV/cell; calculated volume = 58 Å³ per cell
1.0
-0.0889 -1.6642 -2.6159
4.4291 -1.2348 0.6350
-3.4115 -2.6018 1.7712
Li Ga Cd
1 1 1
Cartesian
1.7563 -2.8000 -0.7304 Li
-0.8129 -2.4260 0.9526 Ga
-0.0147 -0.2748 -0.4319 Cd



Co3Ni2Ir PBE relaxed; relative energy among the computed polymorphs = 0.0 meV/atom; symmetry = No. 15; crystal system = monoclinic; total moment = 7.4 μB/f.u.; D(E_F) = 17.1 states/eV/cell; calculated volume = 143 Å³ per cell
1.0
3.9004 1.1918 -2.4392
-1.2156 4.5521 -0.6193
0.0515 -0.3421 7.5041
Co Ni Ir
6 4 2
Cartesian
1.7189 3.6701 1.7388 Co
1.0174 1.7318 2.7068 Co
2.4651 1.4787 -1.7217 Co
3.1398 1.0136 3.5983 Co
0.2713 3.9231 6.1673 Co
-0.4035 4.3883 0.8472 Co
2.8090 1.3691 0.8820 Ni
-0.0726 4.0327 3.5636 Ni
2.1923 3.4001 4.3638 Ni
0.5440 2.0017 0.0818 Ni
2.5730 3.6035 -0.5394 Ir
0.1633 1.7984 4.9850 Ir



Mg2In3Ga3 PBE relaxed; symmetry = No. 2; crystal system = triclinic; total moment = 0.0 μB/f.u.; calculated total energy = -41.4 eV for the cell shown; D(E_F) = 5.8 states/eV/cell; calculated volume = 358 Å³ per cell
1.0
6.7146 1.5599 0.7869
-0.9798 4.2339 -0.0256
3.8017 0.9443 12.3957
Mg In Ga
4 6 6
Cartesian
8.5209 5.3776 11.1492 Mg
2.1205 1.6319 5.0713 Mg
7.4160 5.1062 8.0857 Mg
1.0156 1.3604 2.0078 Mg
6.0296 2.5479 7.0106 In
5.2533 4.6264 12.3144 In
4.2831 2.1116 0.8426 In
3.5068 4.1902 6.1464 In
2.5917 3.9600 3.0029 In
6.9448 2.7780 10.1542 In
6.4632 4.8668 4.8606 Ga
4.1071 2.1238 11.0809 Ga
5.4294 4.6142 2.0761 Ga
3.0732 1.8712 8.2964 Ga
5.0891 2.3138 3.9904 Ga
4.4473 4.4242 9.1666 Ga



Th5GeTe5 PBE relaxed; E_form (uncorrected) = -1.089 eV per atom; symmetry = No. 12; crystal system = monoclinic; total moment = 0.0 μB/f.u.; D(E_F) = 7.9 states/eV/cell; calculated volume = 362 Å³ per cell
1.0
6.2364 0.0000 0.0000
-3.1182 6.5338 -2.2965
0.0000 0.0910 8.8625
Th Ge Te
5 1 5
Cartesian
3.1182 4.3799 -0.2472 Th
3.1182 4.5547 4.5264 Th
3.1182 0.0000 0.0000 Th
0.0000 2.0701 2.0395 Th
0.0000 2.2449 6.8131 Th
0.0000 0.0000 0.0000 Ge
3.1182 2.2220 2.2767 Te
3.1182 2.0490 6.4119 Te
0.0000 0.0455 4.4312 Te
0.0000 4.5759 0.1540 Te
0.0000 4.4028 4.2892 Te



Ac2CoBr PBE relaxed; relative energy among the computed polymorphs = 247.7 meV/atom; E_form (uncorrected) = -0.508 eV per atom; symmetry = No. 123; crystal system = tetragonal; total moment = 0.5 μB/f.u.; D(E_F) = 4.2 states/eV/cell; calculated volume = 115 Å³ per cell
1.0
-2.8409 -2.2265 0.5646
0.8195 -1.8214 -3.0590
5.0778 -5.3294 4.5335
Ac Co Br
2 1 1
Cartesian
4.0261 -4.2256 3.5946 Ac
1.0516 -1.1038 0.9389 Ac
-1.0107 -2.0239 -1.2472 Co
1.5282 -4.6886 1.0195 Br



Ca4Pa3AgAs8 PBE relaxed; symmetry = No. 166; crystal system = trigonal; total moment = 0.0 μB/f.u.; calculated total energy = -92.2 eV for the cell shown; D(E_F) = 2.2 states/eV/cell; calculated volume = 412 Å³ per cell
1.0
-1.0992 0.7312 -8.2658
7.9622 -2.0918 -1.2439
-5.0197 -4.9997 4.4636
Ca Pa Ag As
4 3 1 8
Cartesian
-0.5496 0.3656 -4.1329 Ca
-3.0595 -2.1342 -1.9011 Ca
0.0000 0.0000 0.0000 Ca
-2.5099 -2.4998 2.2318 Ca
3.4315 -0.6803 -4.7548 Pa
0.9216 -3.1801 -2.5230 Pa
1.4712 -3.5457 1.6098 Pa
3.9811 -1.0459 -0.6220 Ag
0.6024 -6.2396 1.4220 As
3.0339 -3.8203 -0.7414 As
-0.7300 -2.9191 -0.1612 As
0.0696 -5.8853 -2.5840 As
1.7736 -0.4749 -2.4621 As
2.5732 -3.4411 -4.8849 As
-1.1907 -2.5399 -4.3047 As
1.2408 -0.1205 -6.4681 As



CsBe3Si PBE relaxed; relative energy among the computed polymorphs = 0.0 meV/atom; E_form (uncorrected) = 1.077 eV per atom; symmetry = No. 221; crystal system = cubic; total moment = 0.0 μB/f.u.; D(E_F) = 5.0 states/eV/cell; calculated volume = 100 Å³ per cell
1.0
-2.6905 -1.5465 -3.4572
0.4636 -4.3433 1.5822
-3.7588 0.5714 2.6697
Cs Be Si
1 3 1
Cartesian
-2.9929 -2.6593 0.3974 Cs
0.2318 -2.1717 0.7911 Be
-1.8794 0.2857 1.3349 Be
-1.3453 -0.7733 -1.7286 Be
0.0000 0.0000 0.0000 Si



Dy4TmSc7 PBE relaxed; symmetry = No. 12; crystal system = monoclinic; total moment = 0.5 μB/f.u.; calculated total energy = -63.9 eV for the cell shown; D(E_F) = 22.0 states/eV/cell; calculated volume = 339 Å³ per cell
1.0
5.5120 0.0000 0.0000
2.7560 10.9063 -0.8164
2.7560 0.0211 5.6412
Dy Tm Sc
4 1 7
Cartesian
5.5120 2.4778 2.5013 Dy
5.5120 8.4495 2.3235 Dy
8.2680 7.7246 4.5186 Dy
2.7560 3.2027 0.3061 Dy
0.0000 0.0000 0.0000 Tm
8.2680 9.9813 2.0677 Sc
2.7560 0.9460 2.7571 Sc
2.7560 6.7325 1.3153 Sc
8.2680 4.1949 3.5094 Sc
5.5120 5.6453 3.9654 Sc
2.7560 0.0000 0.0000 Sc
5.5120 5.2820 0.8593 Sc



CsSr3 PBE relaxed; relative energy among the computed polymorphs = 3.4 meV/atom; symmetry = No. 44; crystal system = orthorhombic; total moment = 0.0 μB/f.u.; D(E_F) = 4.7 states/eV/cell; calculated volume = 251 Å³ per cell
1.0
4.3437 0.0000 0.0000
0.0000 7.8389 0.0000
-2.1719 -3.9195 7.3848
Cs Sr
1 3
Cartesian
0.0000 7.8336 0.0000 Cs
0.0000 2.6026 3.5833 Sr
2.1719 3.9456 0.0000 Sr
2.1719 -1.3168 3.8016 Sr